Entry from Alexandria via LeMat-Bulk: a geometry-optimized NdY8Tm2 structure (GGA-PBE).

abc: 9.3310 9.3310 5.8880
angles: 105.69 105.69 122.09
Positions (direct):
Nd1 0.0000 0.0000 0.0000
Y1 0.0988 0.3407 0.6823
Y2 0.2059 0.7941 0.0000
Y3 0.3407 0.0988 0.6823
Y4 0.4312 0.4312 0.2087
Y5 0.5688 0.5688 0.7913
Y6 0.6593 0.9012 0.3177
Y7 0.7941 0.2059 0.0000
Y8 0.9012 0.6593 0.3177
Tm1 0.3087 0.6913 0.5000
Tm2 0.6913 0.3087 0.5000

Crystal system: monoclinic
Electronic total energy, eV/atom: -5.79

Entry from Alexandria via LeMat-Bulk: a geometry-optimized CsTe4As2Au structure (GGA-PBE).

abc: 7.3660 7.3660 7.3660
angles: 133.79 106.35 91.52
Positions (direct):
Cs1 0.0000 0.0000 0.0000
Te1 0.0452 0.2461 0.7076
Te2 0.4614 0.7539 0.7991
Te3 0.5386 0.3376 0.2924
Te4 0.9548 0.6624 0.2009
As1 0.3791 0.8791 0.5000
As2 0.6209 0.1209 0.5000
Au1 0.5000 0.5000 0.0000

E_form (uncorrected), meV/atom: -58
Crystal system: orthorhombic
Electronic total energy, eV/atom: -3.31

Entry from Alexandria via LeMat-Bulk: a geometry-optimized InFeTc2Te structure (GGA-PBE).

abc: 4.8420 4.8420 5.4719
angles: 90.00 90.00 90.00
Positions (direct):
In1 0.0000 0.0000 0.0000
Fe1 0.5000 0.5000 0.0000
Tc1 0.0000 0.5000 0.5000
Tc2 0.5000 0.0000 0.5000
Te1 0.0000 0.0000 0.5000

E_form (uncorrected), meV/atom: 1937
Crystal system: tetragonal
Electronic total energy, eV/atom: -5.08

Entry from Alexandria via LeMat-Bulk: a geometry-optimized HoPuHgBi structure (GGA-PBE).

abc: 5.3849 5.3849 5.3849
angles: 60.00 60.00 60.00
Positions (direct):
Ho1 0.0000 0.0000 0.0000
Pu1 0.5000 0.5000 0.5000
Hg1 0.7500 0.7500 0.7500
Bi1 0.2500 0.2500 0.2500

Crystal system: cubic
Electronic total energy, eV/atom: -6.12

- Look up the electronic total energy of the second one.
  -3.31 eV/atom